Density functional theory data (PBE) for a geometry-optimized BaBe3 structure.

Structure (CIF):
```
data_BaBe3
_chemical_formula_sum 'Ba2 Be6'
_space_group_name_H-M_alt 'P 63/m m c'
_space_group_IT_number 194
_space_group_name_Hall '-P 6c 2c'
_cell_length_a 7.0524
_cell_length_b 7.0524
_cell_length_c 3.5979
_cell_angle_alpha 90.00
_cell_angle_beta 90.00
_cell_angle_gamma 120.00
loop_
_atom_site_label
_atom_site_type_symbol
_atom_site_fract_x
_atom_site_fract_y
_atom_site_fract_z
Ba1 Ba 0.3333 0.6667 0.2500
Be1 Be 0.1012 0.2024 0.7500
```

=====

Density functional theory data (PBE) for a geometry-optimized Ba3Be5 structure.

Structure (CIF):
```
data_Ba3Be5
_chemical_formula_sum 'Ba6 Be10'
_space_group_name_H-M_alt 'C m m m'
_space_group_IT_number 65
_space_group_name_Hall '-C 2 2'
_cell_length_a 7.508
_cell_length_b 11.344
_cell_length_c 4.743
_cell_angle_alpha 90.00
_cell_angle_beta 90.00
_cell_angle_gamma 90.00
loop_
_atom_site_label
_atom_site_type_symbol
_atom_site_fract_x
_atom_site_fract_y
_atom_site_fract_z
Ba1 Ba 0.000 0.000 0.000
Ba2 Ba 0.000 0.252 0.500
Be1 Be 0.000 0.500 0.000
Be2 Be 0.145 0.500 0.500
Be3 Be 0.250 0.250 0.000
```

=====

Density functional theory data (PBE) for a geometry-optimized BaBe structure.

Structure (CIF):
```
data_BaBe
_chemical_formula_sum 'Ba4 Be4'
_space_group_name_H-M_alt 'F -4 3 m'
_space_group_IT_number 216
_space_group_name_Hall 'F -4 2 3'
_cell_length_a 7.292
_cell_length_b 7.292
_cell_length_c 7.292
_cell_angle_alpha 90.00
_cell_angle_beta 90.00
_cell_angle_gamma 90.00
loop_
_atom_site_label
_atom_site_type_symbol
_atom_site_fract_x
_atom_site_fract_y
_atom_site_fract_z
Ba1 Ba 0.000 0.000 0.000
Be1 Be 0.250 0.250 0.250
```

=====

Density functional theory data (PBE) for a geometry-optimized BaBe structure.

Structure (CIF):
```
data_BaBe
_chemical_formula_sum 'Ba3 Be3'
_space_group_name_H-M_alt 'R -3 m'
_space_group_IT_number 166
_space_group_name_Hall '-R 3 2"'
_cell_length_a 4.4116
_cell_length_b 4.4116
_cell_length_c 13.2212
_cell_angle_alpha 90.00
_cell_angle_beta 90.00
_cell_angle_gamma 120.00
loop_
_atom_site_label
_atom_site_type_symbol
_atom_site_fract_x
_atom_site_fract_y
_atom_site_fract_z
Ba1 Ba 0.0000 0.0000 0.0000
Be1 Be 0.0000 0.0000 0.5000
```

=====

Density functional theory data (PBE) for a geometry-optimized BaBe structure.

Structure (CIF):
```
data_BaBe
_chemical_formula_sum 'Ba6 Be6'
_space_group_name_H-M_alt 'P m -3 n'
_space_group_IT_number 223
_space_group_name_Hall '-P 4n 2 3'
_cell_length_a 9.036
_cell_length_b 9.036
_cell_length_c 9.036
_cell_angle_alpha 90.00
_cell_angle_beta 90.00
_cell_angle_gamma 90.00
loop_
_atom_site_label
_atom_site_type_symbol
_atom_site_fract_x
_atom_site_fract_y
_atom_site_fract_z
Ba1 Ba 0.000 0.250 0.500
Be1 Be 0.000 0.500 0.250
```

=====

Density functional theory data (PBE) for a geometry-optimized BaBe2 structure.

Structure (CIF):
```
data_BaBe2
_chemical_formula_sum 'Ba4 Be8'
_space_group_name_H-M_alt 'P a -3'
_space_group_IT_number 205
_space_group_name_Hall '-P 2ac 2ab 3'
_cell_length_a 7.256
_cell_length_b 7.256
_cell_length_c 7.256
_cell_angle_alpha 90.00
_cell_angle_beta 90.00
_cell_angle_gamma 90.00
loop_
_atom_site_label
_atom_site_type_symbol
_atom_site_fract_x
_atom_site_fract_y
_atom_site_fract_z
Ba1 Ba 0.000 0.000 0.000
Be1 Be 0.083 0.583 0.917
```

=====

So what do the calculations give for DFT formation energy? Going down the list: 0.3031, 0.8725, 1.1785, 0.8630, 1.2768, 1.3230 eV/atom.
So what do the calculations give for polymorph energy (0 for the lowest one)? Going down the list: 0.120, 0.460, 0.818, 0.503, 0.917, 1.008 eV per atom.